(1)
# Li4CaPb2

Li4CaPb2 after structural relaxation (PBE, the Alexandria database).

The space group is P4_2/mnm (No. 136) and the conventional cell measures 8.150, 8.150 and 4.812 Å, with angles of 90.00, 90.00 and 90.00 degrees. The inequivalent atoms are Li at (0.110, 0.362, 0.000), Ca at (0.000, 0.000, 0.500) and Pb at (0.208, 0.792, 0.000).

As for the energy relative to the elements: -316 meV per atom. The calculation puts the spin magnetization at 0.00 Bohr magnetons per cell.

(2)
# LiCa2Pb6

LiCa2Pb6 after structural relaxation (PBE, the Alexandria database).

The space group is C2/m (No. 12) and the conventional cell measures 15.978, 7.906 and 4.764 Å, with angles of 90.00, 107.17 and 90.00 degrees. The inequivalent atoms are Li at (0.000, 0.000, 0.000), Ca at (0.142, 0.500, 0.639), Pb at (0.000, 0.198, 0.500) and Pb at (0.169, 0.203, 0.167).

As for the energy relative to the elements: -155 meV per atom. The calculation puts the spin magnetization at 0.00 Bohr magnetons per cell.

(3)
# LiCa4Pb5

LiCa4Pb5 after structural relaxation (PBE, the Alexandria database).

The space group is P4/mmm (No. 123) and the conventional cell measures 3.717, 3.717 and 20.810 Å, with angles of 90.00, 90.00 and 90.00 degrees. The inequivalent atoms are Li at (0.000, 0.000, 0.000), Ca at (0.000, 0.000, 0.184), Ca at (0.000, 0.000, 0.394), Pb at (0.500, 0.500, 0.079), Pb at (0.500, 0.500, 0.287) and Pb at (0.500, 0.500, 0.500).

As for the energy relative to the elements: -479 meV per atom. The calculation puts the spin magnetization at 0.00 Bohr magnetons per cell.

(4)
# Li4CaPb

Li4CaPb after structural relaxation (PBE, the Alexandria database).

The space group is F-43m (No. 216) and the conventional cell measures 8.013, 8.013 and 8.013 Å, with angles of 90.00, 90.00 and 90.00 degrees. The inequivalent atoms are Li at (0.125, 0.125, 0.125), Ca at (0.250, 0.250, 0.750) and Pb at (0.000, 0.000, 0.500).

The excess energy over the best structure of this formula in the dataset is 0.0000 eV/atom. As for the energy relative to the elements: -208 meV per atom. The calculation puts the spin magnetization at 0.00 Bohr magnetons per cell.

(5)
# Li6CaPb4

Li6CaPb4 after structural relaxation (PBE, the Alexandria database).

The space group is P-6m2 (No. 187) and the conventional cell measures 7.9128, 7.9128 and 4.6945 Å, with angles of 90.00, 90.00 and 120.00 degrees. The inequivalent atoms are Li at (0.2026, 0.4053, 0.0000), Li at (0.2356, 0.1178, 0.5000), Ca at (0.6667, 0.3333, 0.0000), Pb at (0.0000, 0.0000, 0.0000) and Pb at (0.0604, 0.5302, 0.5000).

As for the energy relative to the elements: -248 meV per atom. The calculation puts the spin magnetization at 0.00 Bohr magnetons per cell.

(6)
# Li4CaPb

Li4CaPb after structural relaxation (PBE, the Alexandria database).

The space group is Cmcm (No. 63) and the conventional cell measures 4.887, 15.579 and 7.515 Å, with angles of 90.00, 90.00 and 90.00 degrees. The inequivalent atoms are Li at (0.000, 0.000, 0.000), Li at (0.000, 0.251, 0.082), Li at (0.000, 0.418, 0.250), Ca at (0.000, 0.383, 0.750) and Pb at (0.000, 0.165, 0.750).

The excess energy over the best structure of this formula in the dataset is 0.0680 eV/atom. As for the energy relative to the elements: -140 meV per atom. The calculation puts the spin magnetization at 0.00 Bohr magnetons per cell.

(7)
# LiCa3Pb2

LiCa3Pb2 after structural relaxation (PBE, the Alexandria database).

The space group is Ibam (No. 72) and the conventional cell measures 6.557, 17.078 and 6.644 Å, with angles of 90.00, 90.00 and 90.00 degrees. The inequivalent atoms are Li at (0.000, 0.000, 0.250), Ca at (0.000, 0.500, 0.250), Ca at (0.240, 0.180, 0.000) and Pb at (0.242, 0.127, 0.500).

As for the energy relative to the elements: -432 meV per atom. The calculation puts the spin magnetization at 0.00 Bohr magnetons per cell.

(8)
# Li4Ca3Pb2

Li4Ca3Pb2 after structural relaxation (PBE, the Alexandria database).

The space group is C2/m (No. 12) and the conventional cell measures 10.800, 4.947 and 9.159 Å, with angles of 90.00, 105.45 and 90.00 degrees. The inequivalent atoms are Li at (0.093, 0.000, 0.153), Li at (0.207, 0.500, 0.558), Ca at (0.000, 0.000, 0.500), Ca at (0.115, 0.500, 0.874) and Pb at (0.219, 0.500, 0.250).

As for the energy relative to the elements: -317 meV per atom. The calculation puts the spin magnetization at 0.27 Bohr magnetons per cell.

(9)
# LiCaPb2

LiCaPb2 after structural relaxation (PBE, the Alexandria database).

The space group is Pmm2 (No. 25) and the conventional cell measures 3.939, 4.414 and 6.629 Å, with angles of 90.00, 90.00 and 90.00 degrees. The inequivalent atoms are Li at (0.000, 0.000, 0.000), Ca at (0.500, 0.500, 0.704), Pb at (0.000, 0.000, 0.448) and Pb at (0.500, 0.500, 0.199).

As for the energy relative to the elements: -223 meV per atom. The calculation puts the spin magnetization at 0.00 Bohr magnetons per cell.

(10)
# LiCaPb2

LiCaPb2 after structural relaxation (PBE, the Alexandria database).

The space group is Cmcm (No. 63) and the conventional cell measures 7.457, 11.039 and 5.238 Å, with angles of 90.00, 90.00 and 90.00 degrees. The inequivalent atoms are Li at (0.000, 0.141, 0.250), Ca at (0.000, 0.366, 0.750) and Pb at (0.226, 0.110, 0.750).

As for the energy relative to the elements: -384 meV per atom. The calculation puts the spin magnetization at 0.00 Bohr magnetons per cell.

(11)
# LiCa2Pb

LiCa2Pb after structural relaxation (PBE, the Alexandria database).

The space group is F-43m (No. 216) and the conventional cell measures 7.707, 7.707 and 7.707 Å, with angles of 90.00, 90.00 and 90.00 degrees. The inequivalent atoms are Li at (0.000, 0.000, 0.000), Ca at (0.000, 0.000, 0.500), Ca at (0.250, 0.250, 0.750) and Pb at (0.250, 0.250, 0.250).

As for the energy relative to the elements: -229 meV per atom. The calculation puts the spin magnetization at 0.00 Bohr magnetons per cell.

(12)
# LiCaPb6

LiCaPb6 after structural relaxation (PBE, the Alexandria database).

The space group is P4/mmm (No. 123) and the conventional cell measures 4.934, 4.934 and 9.682 Å, with angles of 90.00, 90.00 and 90.00 degrees. The inequivalent atoms are Li at (0.000, 0.000, 0.000), Ca at (0.000, 0.000, 0.500), Pb at (0.000, 0.500, 0.240), Pb at (0.500, 0.500, 0.000) and Pb at (0.500, 0.500, 0.500).

As for the energy relative to the elements: -209 meV per atom. The calculation puts the spin magnetization at 0.00 Bohr magnetons per cell.

(13)
# Li2CaPb4

Li2CaPb4 after structural relaxation (PBE, the Alexandria database).

The space group is I4/mmm (No. 139) and the conventional cell measures 5.919, 5.919 and 12.577 Å, with angles of 90.00, 90.00 and 90.00 degrees. The inequivalent atoms are Li at (0.000, 0.000, 0.128), Ca at (0.000, 0.000, 0.500), Pb at (0.000, 0.500, 0.000) and Pb at (0.000, 0.500, 0.250).

As for the energy relative to the elements: 23 meV per atom. The calculation puts the spin magnetization at 0.00 Bohr magnetons per cell.

(14)
# LiCa2Pb5

LiCa2Pb5 after structural relaxation (PBE, the Alexandria database).

The space group is Pbam (No. 55) and the conventional cell measures 6.976, 13.474 and 4.860 Å, with angles of 90.00, 90.00 and 90.00 degrees. The inequivalent atoms are Li at (0.000, 0.000, 0.000), Ca at (0.217, 0.369, 0.500), Pb at (0.000, 0.500, 0.000), Pb at (0.033, 0.757, 0.000) and Pb at (0.213, 0.115, 0.500).

As for the energy relative to the elements: -340 meV per atom. The calculation puts the spin magnetization at 0.00 Bohr magnetons per cell.

(15)
# Li3CaPb2

Li3CaPb2 after structural relaxation (PBE, the Alexandria database).

The space group is P6_3/mmc (No. 194) and the conventional cell measures 4.9291, 4.9291 and 13.6383 Å, with angles of 90.00, 90.00 and 120.00 degrees. The inequivalent atoms are Li at (0.0000, 0.0000, 0.0000), Li at (0.3333, 0.6667, 0.0865), Ca at (0.0000, 0.0000, 0.2500) and Pb at (0.3333, 0.6667, 0.6278).

As for the energy relative to the elements: -365 meV per atom. The calculation puts the spin magnetization at 0.00 Bohr magnetons per cell.

(16)
# Li4CaPb7

Li4CaPb7 after structural relaxation (PBE, the Alexandria database).

The space group is C2/m (No. 12) and the conventional cell measures 14.300, 5.854 and 9.373 Å, with angles of 90.00, 124.82 and 90.00 degrees. The inequivalent atoms are Li at (0.033, 0.000, 0.217), Li at (0.180, 0.000, 0.838), Ca at (0.000, 0.500, 0.500), Pb at (0.000, 0.000, 0.500), Pb at (0.079, 0.500, 0.912), Pb at (0.216, 0.000, 0.170) and Pb at (0.219, 0.500, 0.375).

As for the energy relative to the elements: -140 meV per atom. The calculation puts the spin magnetization at 0.00 Bohr magnetons per cell.

(17)
# Li2Ca2Pb

Li2Ca2Pb after structural relaxation (PBE, the Alexandria database).

The space group is C2/m (No. 12) and the conventional cell measures 11.416, 4.874 and 11.601 Å, with angles of 90.00, 116.43 and 90.00 degrees. The inequivalent atoms are Li at (0.002, 0.000, 0.383), Li at (0.157, 0.000, 0.048), Ca at (0.025, 0.500, 0.835), Ca at (0.204, 0.500, 0.617) and Pb at (0.237, 0.000, 0.832).

The excess energy over the best structure of this formula in the dataset is 0.0000 eV/atom. As for the energy relative to the elements: -248 meV per atom. The calculation puts the spin magnetization at 0.00 Bohr magnetons per cell.

(18)
# Li3CaPb4

Li3CaPb4 after structural relaxation (PBE, the Alexandria database).

The space group is P4/mmm (No. 123) and the conventional cell measures 5.186, 5.186 and 7.377 Å, with angles of 90.00, 90.00 and 90.00 degrees. The inequivalent atoms are Li at (0.000, 0.000, 0.000), Li at (0.000, 0.000, 0.500), Li at (0.500, 0.500, 0.000), Ca at (0.500, 0.500, 0.500) and Pb at (0.000, 0.500, 0.224).

As for the energy relative to the elements: -324 meV per atom. The calculation puts the spin magnetization at 0.00 Bohr magnetons per cell.

(19)
# LiCa4Pb12

LiCa4Pb12 after structural relaxation (PBE, the Alexandria database).

The space group is Im-3m (No. 229) and the conventional cell measures 10.045, 10.045 and 10.045 Å, with angles of 90.00, 90.00 and 90.00 degrees. The inequivalent atoms are Li at (0.000, 0.000, 0.000), Ca at (0.250, 0.250, 0.250), Pb at (0.000, 0.000, 0.272) and Pb at (0.000, 0.250, 0.500).

As for the energy relative to the elements: -280 meV per atom. The calculation puts the spin magnetization at 0.00 Bohr magnetons per cell.

(20)
# Li2CaPd2Pb2

Li2CaPd2Pb2 after structural relaxation (PBE, the Alexandria database).

The space group is R-3m (No. 166, hexagonal axes) and the conventional cell measures 4.5430, 4.5430 and 25.2272 Å, with angles of 90.00, 90.00 and 120.00 degrees. The inequivalent atoms are Li at (0.0000, 0.0000, 0.1429), Ca at (0.0000, 0.0000, 0.0000), Pd at (0.0000, 0.0000, 0.4457) and Pb at (0.0000, 0.0000, 0.2566).

As for the energy relative to the elements: -395 meV per atom. The calculation puts the spin magnetization at 0.00 Bohr magnetons per cell.